Compound: Zr2BeGaMo
Source: the Alexandria database
Functional: GGA-PBE
Structure: relaxed

a b c (Å): 4.9605 4.9605 4.5937
angles (deg): 90.00 90.00 90.00
Last column: nearest neighbours and their distance in Å.
Sites, in units of the cell vectors:
Zr1 0.0000 0.5000 0.0000  2 Ga 2.48
Zr2 0.5000 0.0000 0.0000  2 Ga 2.48
Be1 0.0000 0.0000 0.5000  8 Zr 3.38, 4 Mo 3.51
Ga1 0.5000 0.5000 0.0000  2 Mo 2.30, 4 Zr 2.48
Mo1 0.5000 0.5000 0.5000  2 Ga 2.30

Calculated density ... 5.25 g cm⁻³
Formation energy from the elements ... 1.061 eV per atom